The following is a DFT calculation (PBE+U) of RbCaMnF6 after structural relaxation.

Properties
* density of states at the Fermi level: 0.00 states/eV/cell
* M_tot: 2.0 μB per formula unit
* final energy: -5.321 eV per atom

POSCAR file:
```
RbCaMnF6
1.0
5.714 -0.006 -0.002
2.852 4.953 0.001
-0.001 0.001 5.901
F Ca Rb Mn
6 1 1 1
Direct
0.647 0.956 0.314
0.956 0.649 0.682
0.396 0.648 0.316
0.396 0.957 0.687
0.958 0.396 0.313
0.646 0.399 0.687
0.334 0.331 0.500
0.000 0.999 0.000
0.667 0.665 0.500
```